1.
A plane-wave DFT calculation with GGA-PBE was carried out for crystalline CeThHg4 at its relaxed geometry.

E = -2.730 eV per atom
total magnetization = 1.18 μB/f.u.
symmetry = Immm, No. 71

```
CeThHg4
1.0
5.081 0.000 0.000
2.541 5.525 -0.675
2.541 -0.732 5.517
Hg Ce Th
4 1 1
Direct
0.751 0.915 0.582
0.751 0.582 0.916
0.249 0.418 0.084
0.249 0.085 0.418
0.000 0.000 0.000
0.500 0.500 0.500
```

---

2.
A plane-wave DFT calculation with GGA-PBE was carried out for crystalline Ce2ThHg6 at its relaxed geometry.

E = -2.664 eV per atom
total magnetization = 2.18 μB/f.u.
symmetry = R-3m, No. 166

```
Ce2ThHg6
1.0
-1.186 2.925 -5.238
-7.151 -5.008 -1.177
2.382 2.525 7.744
Hg Ce Th
6 2 1
Direct
0.833 0.166 0.666
0.833 0.500 0.666
0.500 0.167 0.000
0.167 0.834 0.334
0.167 0.500 0.334
0.500 0.833 0.000
0.335 0.335 0.670
0.665 0.665 0.330
0.000 0.000 0.000
```

---

3.
A plane-wave DFT calculation with GGA-PBE was carried out for crystalline CeTh3Hg3 at its relaxed geometry.

E = -4.120 eV per atom
total magnetization = 1.14 μB/f.u.
symmetry = R3m, No. 160

```
CeTh3Hg3
1.0
6.207 0.039 -2.214
-3.055 5.282 -2.162
-0.023 0.039 6.590
Hg Th Ce
3 3 1
Direct
0.500 0.004 0.000
0.500 0.504 0.500
0.000 0.004 0.500
0.500 0.004 0.500
0.500 0.504 0.000
0.000 0.504 0.500
0.000 0.503 0.000
```

---

4.
A plane-wave DFT calculation with GGA-PBE was carried out for crystalline Ce2Th2Hg7 at its relaxed geometry.

E = -2.525 eV per atom
total magnetization = 2.07 μB/f.u.
symmetry = Cmmm, No. 65

```
Ce2Th2Hg7
1.0
7.058 -0.003 -0.525
0.003 7.167 0.003
-0.964 -0.003 7.011
Th Hg Ce
2 7 2
Direct
0.182 0.500 0.182
0.818 0.500 0.818
0.000 0.292 0.500
0.500 0.291 0.500
0.500 0.292 0.000
0.000 0.708 0.500
0.000 0.000 0.000
0.500 0.709 0.500
0.500 0.708 0.000
0.709 0.000 0.291
0.291 0.000 0.709
```

---

5.
A plane-wave DFT calculation with GGA-PBE was carried out for crystalline CeThHg2 at its relaxed geometry.

E = -3.717 eV per atom
total magnetization = 1.88 μB/f.u.
symmetry = Fmmm, No. 69

```
CeThHg2
1.0
-2.645 6.085 0.083
-0.619 -2.872 -5.949
-3.203 -3.729 4.461
Hg Th Ce
4 2 2
Direct
0.750 0.250 0.500
0.263 0.263 0.000
0.737 0.737 0.000
0.250 0.750 0.500
0.754 0.754 0.509
0.246 0.246 0.491
0.755 0.245 0.000
0.245 0.755 0.000
```

---

6.
A plane-wave DFT calculation with GGA-PBE was carried out for crystalline CeTh2Hg3 at its relaxed geometry.

E = -3.835 eV per atom
total magnetization = 1.20 μB/f.u.
symmetry = P4/mmm, No. 123

```
CeTh2Hg3
1.0
3.797 0.000 0.000
0.000 3.797 0.000
0.000 0.000 11.679
Hg Ce Th
3 1 2
Direct
0.000 0.000 0.336
0.000 0.000 0.664
0.000 0.000 0.000
0.500 0.500 0.500
0.500 0.500 0.166
0.500 0.500 0.834
```

---

7.
A plane-wave DFT calculation with GGA-PBE was carried out for crystalline Ce2ThHg2 at its relaxed geometry.

E = -4.149 eV per atom
total magnetization = 1.91 μB/f.u.
symmetry = P4/mbm, No. 127

```
Ce2ThHg2
1.0
-0.809 1.508 3.149
-5.456 -6.807 1.857
6.762 -4.375 3.832
Ce Hg Th
4 4 2
Direct
0.500 0.323 0.177
0.500 0.823 0.323
0.500 0.677 0.823
0.500 0.177 0.677
0.000 0.879 0.621
0.000 0.621 0.121
0.000 0.379 0.879
0.000 0.121 0.379
0.000 0.500 0.500
0.000 0.000 0.000
```

---

8.
A plane-wave DFT calculation with GGA-PBE was carried out for crystalline Ce2ThHg2 at its relaxed geometry.

E = -4.004 eV per atom
total magnetization = 1.18 μB/f.u.
symmetry = R-3m, No. 166

```
Ce2ThHg2
1.0
-1.539 0.198 -5.198
-4.450 -2.650 -1.615
-4.923 3.470 -1.241
Hg Ce Th
2 2 1
Direct
0.791 0.291 0.626
0.209 0.709 0.374
0.587 0.087 0.240
0.413 0.913 0.760
0.000 0.500 0.000
```

---

Values of calculated density, in order: 12.80; 12.48; 10.98; 10.16; 11.43; 11.89; 10.64; 11.25, all in Mg/m³.